1.
A geometry-optimized Li2Bi2Pd5 structure, computed with GGA-PBE.

Computed properties:
The calculation puts the calculated total energy at -4.446 eV per atom. The volume is 317 Å³/cell. As for the formation energy: -26.4 kJ per mole of atoms.

a b c (Å): 6.8561 5.9770 8.9677
angles (deg): 109.47 112.47 90.00
Atoms (fractional coordinates):
Li1 0.1274 0.5857 0.1450
Li2 0.8726 0.4407 0.8550
Li3 0.5176 0.0857 0.1450
Li4 0.4824 0.9407 0.8550
Bi1 0.0000 0.0391 0.0000
Bi2 0.5000 0.5391 0.0000
Bi3 0.1969 0.3132 0.5000
Bi4 0.8031 0.8132 0.5000
Pd1 0.1197 0.6736 0.7805
Pd2 0.8803 0.8931 0.2195
Pd3 0.1607 0.1736 0.7805
Pd4 0.8393 0.3931 0.2195
Pd5 0.3707 0.9704 0.3182
Pd6 0.6293 0.6522 0.6818
Pd7 0.4475 0.4704 0.3182
Pd8 0.5525 0.1522 0.6818
Pd9 0.2135 0.7681 0.5000
Pd10 0.7865 0.2681 0.5000

2.
A geometry-optimized Li4Bi3Pd4 structure, computed with GGA-PBE.

Computed properties:
The calculation puts the calculated total energy at -4.068 eV per atom. The volume is 209 Å³/cell. As for the formation energy: -41.1 kJ per mole of atoms.

a b c (Å): 4.7954 4.7684 9.8875
angles (deg): 76.73 108.57 94.06
Atoms (fractional coordinates):
Li1 0.2088 0.5617 0.9168
Li2 0.7912 0.4383 0.0832
Li3 0.1694 0.8114 0.3296
Li4 0.8305 0.1886 0.6704
Bi1 0.4002 0.6862 0.6652
Bi2 0.5998 0.3138 0.3348
Bi3 0.0000 0.0000 0.0000
Pd1 0.4098 0.1166 0.8385
Pd2 0.2064 0.2544 0.5068
Pd3 0.7936 0.7455 0.4932
Pd4 0.5902 0.8834 0.1615